1.
Entry from Alexandria: a relaxed ZrTa2Co crystal (PBE).

a = 5.3214 Å, b = 5.3214 Å, c = 2.8714 Å
α = 90.00°, β = 90.00°, γ = 119.50°
Fractional positions:
Co 0.0000 0.5000 0.5000
Ta 0.0000 0.0000 0.0000
Ta 0.5000 0.5000 0.0000
Zr 0.5000 0.0000 0.5000

## Properties
Offset from the most stable computed form, kJ/mol of formula units: 147

---

2.
Entry from Alexandria: a relaxed ZrTaCo2 crystal (PBE).

a = 4.3763 Å, b = 4.3763 Å, c = 4.3763 Å
α = 60.00°, β = 60.00°, γ = 60.00°
Last column: magnetic moment on the atom in μB.
Fractional positions:
Co 0.0000 0.0000 0.0000  0.62
Co 0.2500 0.2500 0.2500  0.50
Ta 0.5000 0.5000 0.5000  -0.12
Zr 0.7500 0.7500 0.7500  -0.10

---

3.
Entry from Alexandria: a relaxed ZrTa2Co2 crystal (PBE).

a = 7.2113 Å, b = 7.2113 Å, c = 3.0590 Å
α = 90.00°, β = 90.00°, γ = 90.00°
Fractional positions:
Co 0.3741 0.8741 0.0000
Co 0.8741 0.6259 0.0000
Co 0.6259 0.1259 0.0000
Co 0.1259 0.3741 0.0000
Zr 0.0000 0.0000 0.0000
Zr 0.5000 0.5000 0.0000
Ta 0.1645 0.6645 0.5000
Ta 0.6645 0.8355 0.5000
Ta 0.8355 0.3355 0.5000
Ta 0.3355 0.1645 0.5000

## Properties
Offset from the most stable computed form, kJ/mol of formula units: 0

---

4.
Entry from Alexandria: a relaxed ZrTaCo2 crystal (PBE).

a = 6.7981 Å, b = 6.7981 Å, c = 5.5585 Å
α = 52.30°, β = 52.30°, γ = 90.00°
Fractional positions:
Co 0.6441 0.1250 0.2500
Co 0.1059 0.6250 0.2500
Co 0.3750 0.3559 0.7500
Co 0.8750 0.8941 0.7500
Zr 0.5000 0.5000 0.0000
Zr 0.2500 0.7500 0.5000
Ta 0.0000 0.0000 0.0000
Ta 0.7500 0.2500 0.5000

---

5.
Entry from Alexandria: a relaxed ZrTaCo crystal (PBE).

a = 5.8248 Å, b = 6.8630 Å, c = 6.0107 Å
α = 90.00°, β = 90.00°, γ = 115.11°
Fractional positions:
Co 0.6103 0.2206 0.5318
Co 0.8897 0.7794 0.0318
Co 0.3897 0.7794 0.4682
Co 0.1103 0.2206 0.9682
Ta 0.2713 0.0427 0.2500
Ta 0.2287 0.9573 0.7500
Ta 0.7287 0.9573 0.7500
Ta 0.7713 0.0427 0.2500
Zr 0.8108 0.6216 0.4380
Zr 0.6892 0.3784 0.9380
Zr 0.1892 0.3784 0.5620
Zr 0.3108 0.6216 0.0620

## Properties
Offset from the most stable computed form, kJ/mol of formula units: 40

---

6.
Entry from Alexandria: a relaxed ZrTa2Co crystal (PBE).

a = 5.3839 Å, b = 5.3839 Å, c = 4.8309 Å
α = 63.40°, β = 63.40°, γ = 34.18°
Last column: magnetic moment on the atom in μB.
Fractional positions:
Co 0.2588 0.2588 0.2412  0.71
Ta 0.9814 0.9814 0.0186  -0.06
Ta 0.7440 0.7440 0.7560  0.05
Zr 0.5158 0.5158 0.4842  -0.05

## Properties
Offset from the most stable computed form, kJ/mol of formula units: 54

---

7.
Entry from Alexandria: a relaxed ZrTa2Co crystal (PBE).

a = 4.5440 Å, b = 4.5440 Å, c = 3.3173 Å
α = 90.00°, β = 90.00°, γ = 90.00°
Last column: magnetic moment on the atom in μB.
Fractional positions:
Co 0.0000 0.5000 0.5000  0.92
Ta 0.0000 0.0000 0.0000  -0.04
Ta 0.5000 0.5000 0.0000  -0.04
Zr 0.5000 0.0000 0.5000  -0.03

## Properties
Offset from the most stable computed form, kJ/mol of formula units: 95

---

8.
Entry from Alexandria: a relaxed ZrTaCo crystal (PBE).

a = 5.8050 Å, b = 5.8050 Å, c = 3.0965 Å
α = 74.53°, β = 74.53°, γ = 30.94°
Last column: magnetic moment on the atom in μB.
Fractional positions:
Co 0.9822 0.9822 0.0178  0.71
Ta 0.3567 0.3567 0.6433  -0.04
Zr 0.6611 0.6611 0.3389  -0.03

## Properties
Offset from the most stable computed form, kJ/mol of formula units: 21

---

9.
Entry from Alexandria: a relaxed ZrTaCo2 crystal (PBE).

a = 6.9726 Å, b = 4.4463 Å, c = 3.0928 Å
α = 90.04°, β = 63.61°, γ = 129.01°
Last column: magnetic moment on the atom in μB.
Fractional positions:
Co 0.0000 0.0000 0.0000  0.96
Co 0.5000 0.0000 0.5000  0.96
Ta 0.0000 0.5000 0.5000  0.10
Zr 0.5000 0.5000 0.0000  -0.02

---

10.
Entry from Alexandria: a relaxed ZrTaCo5 crystal (PBE).

a = 4.7214 Å, b = 7.8332 Å, c = 9.9346 Å
α = 90.00°, β = 90.00°, γ = 90.00°
Last column: magnetic moment on the atom in μB.
Fractional positions:
Zr 0.2500 0.2563 0.9431  -0.13
Zr 0.7500 0.2437 0.4431  -0.13
Zr 0.2500 0.7563 0.5569  -0.13
Zr 0.7500 0.7437 0.0569  -0.13
Ta 0.2500 0.8666 0.8564  -0.15
Ta 0.7500 0.6334 0.3564  -0.15
Ta 0.2500 0.3666 0.6436  -0.15
Ta 0.7500 0.1334 0.1436  -0.15
Co 0.2500 0.5939 0.0180  0.56
Co 0.7500 0.9061 0.5180  0.56
Co 0.2500 0.0939 0.4820  0.56
Co 0.7500 0.4061 0.9820  0.56
Co 0.7500 0.3086 0.7541  0.72
Co 0.2500 0.1914 0.2541  0.72
Co 0.7500 0.8086 0.7459  0.72
Co 0.2500 0.6914 0.2459  0.72
Co 0.2500 0.9554 0.0918  0.04
Co 0.7500 0.5446 0.5918  0.04
Co 0.2500 0.4554 0.4082  0.04
Co 0.7500 0.0446 0.9082  0.04
Co 0.9982 0.4334 0.1914  0.49
Co 0.0018 0.0666 0.6914  0.49
Co 0.5018 0.9334 0.3086  0.49
Co 0.4982 0.5666 0.8086  0.49
Co 0.0018 0.5666 0.8086  0.49
Co 0.9982 0.9334 0.3086  0.49
Co 0.4982 0.0666 0.6914  0.49
Co 0.5018 0.4334 0.1914  0.49

---

11.
Entry from Alexandria: a relaxed ZrTaCo2 crystal (PBE).

a = 3.2390 Å, b = 3.2405 Å, c = 5.8871 Å
α = 90.00°, β = 90.00°, γ = 90.00°
Last column: magnetic moment on the atom in μB.
Fractional positions:
Co 0.0000 0.0000 0.0052  0.36
Co 0.5000 0.5000 0.2623  -0.01
Ta 0.0000 0.0000 0.4437  0.01
Zr 0.5000 0.5000 0.7888  -0.04

---

12.
Entry from Alexandria: a relaxed ZrTa2Co crystal (PBE).

a = 4.5621 Å, b = 4.5621 Å, c = 4.5621 Å
α = 60.00°, β = 60.00°, γ = 60.00°
Fractional positions:
Co 0.0000 0.0000 0.0000
Zr 0.5000 0.5000 0.5000
Ta 0.2500 0.2500 0.2500
Ta 0.7500 0.7500 0.7500

## Properties
Offset from the most stable computed form, kJ/mol of formula units: 92

---

13.
Entry from Alexandria: a relaxed ZrTa2Co2 crystal (PBE).

a = 3.8505 Å, b = 3.8505 Å, c = 6.4316 Å
α = 72.58°, β = 72.58°, γ = 90.00°
Fractional positions:
Co 0.7500 0.2500 0.5000
Co 0.2500 0.7500 0.5000
Zr 0.0000 0.0000 0.0000
Ta 0.3788 0.3788 0.2424
Ta 0.6212 0.6212 0.7576

## Properties
Offset from the most stable computed form, kJ/mol of formula units: 163

---

14.
Entry from Alexandria: a relaxed ZrTaCo crystal (PBE).

a = 3.1122 Å, b = 3.1122 Å, c = 6.2795 Å
α = 90.00°, β = 90.00°, γ = 120.00°
Fractional positions:
Co 0.0000 0.0000 0.0165
Ta 0.3333 0.6667 0.2970
Zr 0.6667 0.3333 0.6865

## Properties
Offset from the most stable computed form, kJ/mol of formula units: 101

---

15.
Entry from Alexandria: a relaxed ZrTa2Co crystal (PBE).

a = 5.2102 Å, b = 5.3569 Å, c = 2.9362 Å
α = 79.47°, β = 79.17°, γ = 115.77°
Fractional positions:
Co 0.5000 0.5000 0.0000
Ta 0.0000 0.0000 0.0000
Ta 0.5000 0.0000 0.5000
Zr 0.0000 0.5000 0.5000

## Properties
Offset from the most stable computed form, kJ/mol of formula units: 79

---

16.
Entry from Alexandria: a relaxed ZrTa2Co2 crystal (PBE).

a = 4.2017 Å, b = 4.2017 Å, c = 5.6900 Å
α = 68.33°, β = 68.33°, γ = 90.00°
Fractional positions:
Co 0.3825 0.3825 0.2350
Co 0.6175 0.6175 0.7650
Zr 0.0000 0.0000 0.0000
Ta 0.7500 0.2500 0.5000
Ta 0.2500 0.7500 0.5000

## Properties
Offset from the most stable computed form, kJ/mol of formula units: 18

---

17.
Entry from Alexandria: a relaxed ZrTa2Co crystal (PBE).

a = 3.8000 Å, b = 3.8000 Å, c = 10.5381 Å
α = 79.61°, β = 79.61°, γ = 90.00°
Fractional positions:
Co 0.5000 0.5000 0.0000
Co 0.2500 0.7500 0.5000
Zr 0.0000 0.0000 0.0000
Zr 0.7500 0.2500 0.5000
Ta 0.6209 0.1250 0.2500
Ta 0.1291 0.6250 0.2500
Ta 0.3750 0.3791 0.7500
Ta 0.8750 0.8709 0.7500

## Properties
Offset from the most stable computed form, kJ/mol of formula units: 211

---

18.
Entry from Alexandria: a relaxed ZrTaCo2 crystal (PBE).

a = 8.2689 Å, b = 8.2689 Å, c = 8.2689 Å
α = 21.21°, β = 21.21°, γ = 21.21°
Last column: magnetic moment on the atom in μB.
Fractional positions:
Co 0.9923 0.9923 0.9923  1.29
Co 0.2536 0.2536 0.2536  1.03
Ta 0.5119 0.5119 0.5119  -0.18
Zr 0.7422 0.7422 0.7422  -0.21

---

19.
Entry from Alexandria: a relaxed ZrTa2Co crystal (PBE).

a = 5.2915 Å, b = 5.2915 Å, c = 5.2915 Å
α = 136.39°, β = 136.39°, γ = 63.38°
Fractional positions:
Co 0.7500 0.2500 0.5000
Ta 0.0000 0.0000 0.0000
Ta 0.2500 0.7500 0.5000
Zr 0.5000 0.5000 0.0000

## Properties
Offset from the most stable computed form, kJ/mol of formula units: 102

---

20.
Entry from Alexandria: a relaxed ZrTa2Co crystal (PBE).

a = 4.4046 Å, b = 2.9599 Å, c = 5.4501 Å
α = 78.52°, β = 90.00°, γ = 90.00°
Last column: magnetic moment on the atom in μB.
Fractional positions:
Co 0.5000 0.7557 0.7632  0.55
Ta 0.0000 0.9773 0.9960  -0.01
Ta 0.5000 0.2508 0.2294  0.01
Zr 0.0000 0.5162 0.5114  -0.05

## Properties
Offset from the most stable computed form, kJ/mol of formula units: 78

---

21.
Entry from Alexandria: a relaxed ZrTaCo crystal (PBE).

a = 5.1464 Å, b = 5.1576 Å, c = 9.1449 Å
α = 81.93°, β = 73.66°, γ = 60.07°
Fractional positions:
Zr 0.1680 0.5000 0.6639
Zr 0.3320 0.5000 0.3361
Zr 0.5820 0.0000 0.8361
Zr 0.4180 0.0000 0.1639
Ta 0.5808 0.8384 0.5000
Ta 0.9192 0.1616 0.5000
Ta 0.1692 0.6616 0.0000
Ta 0.8308 0.3384 0.0000
Co 0.6269 0.5000 0.7462
Co 0.8731 0.5000 0.2538
Co 0.1231 0.0000 0.7538
Co 0.8769 0.0000 0.2462

## Properties
Offset from the most stable computed form, kJ/mol of formula units: 0

---

22.
Entry from Alexandria: a relaxed ZrTa2Co crystal (PBE).

a = 5.5203 Å, b = 5.5203 Å, c = 5.5203 Å
α = 146.03°, β = 131.33°, γ = 60.68°
Last column: magnetic moment on the atom in μB.
Fractional positions:
Co 0.2500 0.7500 0.5000  1.02
Ta 0.0168 0.0168 0.0000  0.02
Ta 0.4832 0.4832 0.0000  0.02
Zr 0.7500 0.2500 0.5000  -0.01

## Properties
Offset from the most stable computed form, kJ/mol of formula units: 16

---

23.
Entry from Alexandria: a relaxed ZrTa2Co crystal (PBE).

a = 5.4050 Å, b = 5.4050 Å, c = 5.4050 Å
α = 137.91°, β = 137.91°, γ = 61.04°
Fractional positions:
Co 0.7500 0.2500 0.5000
Ta 0.0000 0.0000 0.0000
Ta 0.5000 0.5000 0.0000
Zr 0.2500 0.7500 0.5000

## Properties
Offset from the most stable computed form, kJ/mol of formula units: 69

---

24.
Entry from Alexandria: a relaxed Tb5Co2 crystal (PBE).

a = 6.3145 Å, b = 6.9227 Å, c = 8.6383 Å
α = 96.21°, β = 111.44°, γ = 90.00°
Fractional positions:
Tb 0.2021 0.4132 0.1901
Tb 0.0120 0.0868 0.8099
Tb 0.2160 0.6848 0.5697
Tb 0.6463 0.8152 0.4303
Tb 0.7840 0.3152 0.4303
Tb 0.3537 0.1848 0.5697
Tb 0.9880 0.9132 0.1901
Tb 0.7979 0.5868 0.8099
Tb 0.5694 0.2500 0.0000
Tb 0.4306 0.7500 0.0000
Co 0.1771 0.4277 0.7767
Co 0.4004 0.0723 0.2233
Co 0.8229 0.5723 0.2233
Co 0.5996 0.9277 0.7767

---

25.
Entry from Alexandria: a relaxed Tb12Co7 crystal (PBE).

a = 11.3240 Å, b = 8.3207 Å, c = 11.0691 Å
α = 54.48°, β = 90.00°, γ = 90.00°
Fractional positions:
Tb 0.7062 0.2344 0.5393
Tb 0.2062 0.7656 0.9607
Tb 0.8400 0.5030 0.6583
Tb 0.3400 0.4970 0.8417
Tb 0.1600 0.4970 0.3417
Tb 0.6600 0.5030 0.1583
Tb 0.0027 0.8399 0.3536
Tb 0.5027 0.1601 0.1464
Tb 0.9973 0.1601 0.6464
Tb 0.4973 0.8399 0.8536
Tb 0.7938 0.2344 0.0393
Tb 0.2938 0.7656 0.4607
Tb 0.9293 0.7667 0.0852
Tb 0.4293 0.2333 0.4148
Tb 0.0707 0.2333 0.9148
Tb 0.5707 0.7667 0.5852
Tb 0.3010 0.2474 0.6776
Tb 0.8010 0.7526 0.8224
Tb 0.6990 0.7526 0.3224
Tb 0.1990 0.2474 0.1776
Tb 0.9302 0.2605 0.3098
Tb 0.4302 0.7395 0.1902
Tb 0.0698 0.7395 0.6902
Tb 0.5698 0.2605 0.8098
Co 0.5000 0.5000 0.5000
Co 0.0000 0.5000 0.0000
Co 0.6812 0.9055 0.0245
Co 0.1812 0.0945 0.4755
Co 0.3188 0.0945 0.9755
Co 0.8188 0.9055 0.5245
Co 0.3996 0.4963 0.1003
Co 0.8996 0.5037 0.3997
Co 0.6004 0.5037 0.8997
Co 0.1004 0.4963 0.6003
Co 0.8126 0.1008 0.8394
Co 0.3126 0.8992 0.6606
Co 0.1874 0.8992 0.1606
Co 0.6874 0.1008 0.3394

---

no.,formation enthalpy at 0 K (eV per atom),spin magnetization (Bohr magnetons per cell)
1,0.32,0.00
2,0.12,0.85
3,-0.12,0.00
4,0.25,0.00
5,-0.08,0.00
6,0.08,0.60
7,0.18,0.73
8,-0.14,0.61
9,-0.16,2.01
10,-0.24,7.56
11,-0.02,0.30
12,0.18,0.00
13,0.22,0.00
14,0.13,0.00
15,0.14,0.00
16,-0.08,0.00
17,0.48,0.00
18,0.31,1.76
19,0.20,0.00
20,0.14,0.42
21,-0.21,0.00
22,-0.02,1.00
23,0.11,0.00
24,-0.16,0.00
25,-0.16,0.00